(1)
DFT (PBE-GGA) results for crystalline Hg2GeCl at its relaxed geometry.

a b c (Å): 6.460 6.460 7.784
angles (deg): 65.48 65.48 90.00
Sites, in units of the cell vectors:
1 Hg 0.666 0.125 0.250
2 Hg 0.375 0.334 0.750
3 Hg 0.875 0.916 0.750
4 Hg 0.084 0.625 0.250
5 Cl 0.250 0.750 0.500
6 Cl 0.500 0.500 0.000
7 Ge 0.000 0.000 0.000
8 Ge 0.750 0.250 0.500

Values from the calculation:
DOS(E_F) ... 6.46 states/eV/cell
Symmetry ... No. 122
ρ ... 6.4 g/cm3
ΔE to the lowest computed polymorph ... 0.0000 eV/atom
Total moment ... 0.00 Bohr magnetons per cell



(2)
DFT (PBE-GGA) results for crystalline RbNpCrN3 at its relaxed geometry.

a b c (Å): 3.667 6.884 7.829
angles (deg): 102.32 90.00 105.45
Site moments in Bohr magnetons follow the coordinates.
Sites, in units of the cell vectors:
1 N 0.492 0.984 0.669  -0.04
2 N 0.832 0.664 0.595  -0.11
3 N 0.853 0.705 0.261  -0.11
4 N 0.508 0.016 0.331  -0.04
5 N 0.147 0.295 0.739  -0.11
6 N 0.168 0.336 0.405  -0.11
7 Rb 0.636 0.271 0.062  0.00
8 Rb 0.364 0.729 0.938  0.00
9 Cr 0.006 0.013 0.360  0.04
10 Cr 0.994 0.987 0.640  0.04
11 Np 0.344 0.687 0.421  1.95
12 Np 0.656 0.313 0.579  1.95

Values from the calculation:
DOS(E_F) ... 10.48 states/eV/cell
Symmetry ... No. 12
ρ ... 7.4 g/cm3
Uncorrected energy ... -8.700 eV per atom
Total moment ... 3.43 Bohr magnetons per cell



(3)
DFT (PBE-GGA) results for crystalline PmPrAu2 at its relaxed geometry.

a b c (Å): 3.903 4.797 6.002
angles (deg): 90.00 109.06 90.00
Sites, in units of the cell vectors:
1 Au 0.997 0.000 0.533
2 Au 0.170 0.500 0.878
3 Pr 0.444 0.500 0.428
4 Pm 0.720 0.000 0.978

Values from the calculation:
DOS(E_F) ... 2.73 states/eV/cell
Symmetry ... No. 6
ρ ... 10.6 g/cm3
DFT formation energy ... -0.80 eV per atom
ΔE to the lowest computed polymorph ... 0.0000 eV/atom
Total moment ... 0.00 Bohr magnetons per cell



Copy entry 3 word for word.
DFT (PBE-GGA) results for crystalline PmPrAu2 at its relaxed geometry.

a b c (Å): 3.903 4.797 6.002
angles (deg): 90.00 109.06 90.00
Sites, in units of the cell vectors:
1 Au 0.997 0.000 0.533
2 Au 0.170 0.500 0.878
3 Pr 0.444 0.500 0.428
4 Pm 0.720 0.000 0.978

Values from the calculation:
DOS(E_F) ... 2.73 states/eV/cell
Symmetry ... No. 6
ρ ... 10.6 g/cm3
DFT formation energy ... -0.80 eV per atom
ΔE to the lowest computed polymorph ... 0.0000 eV/atom
Total moment ... 0.00 Bohr magnetons per cell



Please write out number 1 again, unchanged.
DFT (PBE-GGA) results for crystalline Hg2GeCl at its relaxed geometry.

a b c (Å): 6.460 6.460 7.784
angles (deg): 65.48 65.48 90.00
Sites, in units of the cell vectors:
1 Hg 0.666 0.125 0.250
2 Hg 0.375 0.334 0.750
3 Hg 0.875 0.916 0.750
4 Hg 0.084 0.625 0.250
5 Cl 0.250 0.750 0.500
6 Cl 0.500 0.500 0.000
7 Ge 0.000 0.000 0.000
8 Ge 0.750 0.250 0.500

Values from the calculation:
DOS(E_F) ... 6.46 states/eV/cell
Symmetry ... No. 122
ρ ... 6.4 g/cm3
ΔE to the lowest computed polymorph ... 0.0000 eV/atom
Total moment ... 0.00 Bohr magnetons per cell